This record from Alexandria describes a relaxed structure of BeNbW3. The functional is PBE.

a = 4.7515 Å, b = 4.7515 Å, c = 4.7515 Å
α = 90.00°, β = 90.00°, γ = 90.00°
Atoms (fractional coordinates):
W 0.5000 0.0000 0.0000
W 0.0000 0.5000 0.0000
W 0.0000 0.0000 0.5000
Be 0.5000 0.5000 0.5000
Nb 0.0000 0.0000 0.0000

Output
The size of the total moment is 0.00 μB/f.u. The formation enthalpy at 0 K is 2594.6 meV per atom. The value obtained for the total energy is -39.7 eV/cell.